No. 1
Below is PtW2 after structural relaxation, with properties calculated at the PBE-GGA level.

The structure in POSCAR format:
```
PtW2
1.0
10.469 0.000 0.000
0.000 2.751 0.000
-1.683 0.000 6.605
Pt W
4 8
Cartesian
0.000 0.000 0.000
1.250 1.376 2.259
5.235 1.376 0.000
6.485 0.000 2.259
-0.371 0.000 4.075
0.716 1.376 6.305
2.381 0.000 4.388
3.687 0.000 1.859
4.863 1.376 4.075
5.951 0.000 6.305
7.616 1.376 4.388
8.921 1.376 1.859
```

Summary:
The energy above the most stable polymorph in this dataset comes out at 0.066 eV/f.u. The crystal system is monoclinic. Its size of the total moment is 0.0000 μB/atom. The calculated total energy comes out at -32.11 eV/f.u. The calculated volume comes out at 15.9 Å³/atom. The value obtained for the mass density is 19.65 Mg/m³.

No. 2
Below is Al2Rh after structural relaxation, with properties calculated at the PBE-GGA level.

The structure in POSCAR format:
```
Al2Rh
1.0
-1.898 1.898 11.913
1.898 -1.898 11.913
1.898 1.898 -11.913
Al Rh
8 4
Cartesian
1.898 0.949 -2.988
1.898 0.949 0.929
0.000 0.949 2.969
1.898 0.949 5.028
0.000 0.949 6.885
1.898 0.949 8.944
0.000 0.949 10.984
0.000 0.949 14.900
1.898 -0.949 7.085
1.898 -0.949 10.784
0.000 2.846 1.128
0.000 2.846 4.828
```

Summary:
The crystal system is tetragonal. Its size of the total moment is 0.0000 μB/atom. The calculated total energy comes out at -16.85 eV/f.u. The calculated volume comes out at 14.3 Å³/atom. The value obtained for the mass density is 6.07 Mg/m³.

No. 3
Below is AcTl2Rh after structural relaxation, with properties calculated at the PBE-GGA level.

The structure in POSCAR format:
```
AcTl2Rh
1.0
4.356 0.000 0.000
0.000 10.667 0.000
0.000 0.000 8.993
Ac Tl Rh
4 8 4
Cartesian
0.000 0.696 2.248
0.000 9.971 6.745
2.178 4.637 6.745
2.178 6.029 2.248
0.000 3.751 0.445
0.000 3.751 4.051
0.000 6.916 4.942
0.000 6.916 8.548
2.178 1.582 4.942
2.178 1.582 8.548
2.178 9.084 0.445
2.178 9.084 4.051
0.000 2.381 6.745
0.000 8.286 2.248
2.178 2.953 2.248
2.178 7.714 6.745
```

Summary:
The energy above the most stable polymorph in this dataset comes out at 0.000 eV/f.u. The crystal system is orthorhombic. Its size of the total moment is 0.0000 μB/atom. The calculated total energy comes out at -17.75 eV/f.u. The calculated volume comes out at 26.1 Å³/atom. The value obtained for the mass density is 11.74 Mg/m³.

No. 4
Below is Ba2AcSb after structural relaxation, with properties calculated at the PBE-GGA level.

The structure in POSCAR format:
```
Ba2AcSb
1.0
5.294 0.000 0.000
0.000 5.294 0.000
0.000 0.000 5.683
Ba Ac Sb
2 1 1
Cartesian
0.000 2.647 0.000
2.647 0.000 0.000
0.000 0.000 2.841
2.647 2.647 2.841
```

Summary:
The energy above the most stable polymorph in this dataset comes out at 0.000 eV/f.u. The crystal system is tetragonal. Its size of the total moment is 0.0005 μB/atom. The raw formation energy is -0.40 eV per atom. The calculated total energy comes out at -13.66 eV/f.u. The calculated volume comes out at 39.8 Å³/atom. The value obtained for the mass density is 6.50 Mg/m³.

No. 5
Below is La2AsP after structural relaxation, with properties calculated at the PBE-GGA level.

The structure in POSCAR format:
```
La2AsP
1.0
4.249 0.000 0.000
-2.125 3.680 0.000
0.000 0.000 22.217
La As P
6 3 3
Cartesian
0.000 0.000 0.000
0.000 0.000 3.701
0.000 2.453 14.811
0.000 2.453 18.512
2.125 1.227 7.406
2.125 1.227 11.107
0.000 0.000 12.980
0.000 2.453 5.575
2.125 1.227 20.386
0.000 0.000 9.236
0.000 2.453 1.830
2.125 1.227 16.642
```

Summary:
The energy above the most stable polymorph in this dataset comes out at 0.612 eV/f.u. The crystal system is trigonal. Its size of the total moment is 0.0000 μB/atom. The calculated total energy comes out at -25.60 eV/f.u. The calculated volume comes out at 28.9 Å³/atom. The value obtained for the mass density is 5.50 Mg/m³.

No. 6
Below is CsHg3Se3 after structural relaxation, with properties calculated at the PBE-GGA level.

The structure in POSCAR format:
```
CsHg3Se3
1.0
11.612 0.000 0.000
-5.806 10.057 0.000
0.000 0.000 4.625
Cs Hg Se
2 6 6
Cartesian
0.000 6.704 1.156
5.806 3.352 3.469
-3.678 7.083 3.469
1.512 3.330 3.469
3.640 0.356 1.156
2.166 9.701 3.469
4.295 6.727 1.156
9.484 2.974 1.156
-1.088 3.952 3.469
-1.840 9.023 3.469
2.879 2.918 1.156
2.928 7.139 3.469
7.646 1.034 1.156
6.894 6.105 1.156
```

Summary:
The energy above the most stable polymorph in this dataset comes out at 0.000 eV/f.u. The crystal system is hexagonal. Its size of the total moment is 0.0000 μB/atom. The raw formation energy is -0.38 eV per atom. The calculated total energy comes out at -14.84 eV/f.u. The calculated volume comes out at 38.6 Å³/atom. The value obtained for the mass density is 5.97 Mg/m³.

No. 7
Below is ScNiGe3 after structural relaxation, with properties calculated at the PBE-GGA level.

The structure in POSCAR format:
```
ScNiGe3
1.0
5.047 0.000 0.000
0.000 5.047 0.000
0.000 0.000 5.047
Sc Ni Ge
1 1 3
Cartesian
0.000 0.000 0.000
2.524 2.524 2.524
0.000 0.000 2.524
0.000 2.524 0.000
2.524 0.000 0.000
```

Summary:
The crystal system is cubic. Its size of the total moment is 0.1999 μB/atom. The calculated total energy comes out at -21.01 eV/f.u. The calculated volume comes out at 25.7 Å³/atom. The value obtained for the mass density is 4.15 Mg/m³.

No. 8
Below is VBiW2 after structural relaxation, with properties calculated at the PBE-GGA level.

The structure in POSCAR format:
```
VBiW2
1.0
3.948 0.000 0.000
0.000 3.948 0.000
0.000 0.000 19.945
V Bi W
4 4 8
Cartesian
0.000 0.000 0.000
0.000 1.974 4.986
1.974 0.000 14.959
1.974 1.974 9.973
0.000 0.000 9.973
0.000 1.974 14.959
1.974 0.000 4.986
1.974 1.974 0.000
0.852 0.987 2.493
0.987 2.826 7.479
0.987 3.096 17.452
1.122 0.987 12.466
2.826 2.961 12.466
2.961 0.852 17.452
2.961 1.122 7.479
3.096 2.961 2.493
```

Summary:
The crystal system is tetragonal. Its size of the total moment is 0.4297 μB/atom. The calculated total energy comes out at -34.54 eV/f.u. The calculated volume comes out at 19.4 Å³/atom. The value obtained for the mass density is 13.41 Mg/m³.

No. 9
Below is Al2OsW after structural relaxation, with properties calculated at the PBE-GGA level.

The structure in POSCAR format:
```
Al2OsW
1.0
2.867 0.000 0.000
0.000 4.321 0.000
-1.382 0.000 4.896
Al Os W
2 1 1
Cartesian
0.000 0.000 0.000
0.032 2.160 3.906
-0.020 2.160 1.309
1.421 0.000 2.337
```

Summary:
The energy above the most stable polymorph in this dataset comes out at 0.803 eV/f.u. The crystal system is monoclinic. Its size of the total moment is 0.0000 μB/atom. The calculated total energy comes out at -31.92 eV/f.u. The calculated volume comes out at 15.2 Å³/atom. The value obtained for the mass density is 11.72 Mg/m³.

No. 10
Below is Pr2PO after structural relaxation, with properties calculated at the PBE-GGA level.

The structure in POSCAR format:
```
Pr2PO
1.0
3.919 -7.941 0.000
3.919 7.941 0.000
-3.892 0.000 5.480
Pr P O
8 4 4
Cartesian
-1.090 2.984 4.239
0.994 1.005 1.236
-0.952 -1.005 3.976
0.856 -2.984 1.499
3.090 2.984 3.982
4.898 1.005 1.504
2.952 -1.005 4.244
5.036 -2.984 1.242
1.000 4.904 4.110
1.000 1.054 4.110
2.946 -1.054 1.370
2.946 -4.904 1.370
2.946 7.040 1.370
2.946 2.862 1.370
1.000 -2.862 4.110
1.000 -7.040 4.110
```

Summary:
The energy above the most stable polymorph in this dataset comes out at 0.071 eV/f.u. The crystal system is monoclinic. Its size of the total moment is 0.0000 μB/atom. The raw formation energy is -2.03 eV per atom. The calculated total energy comes out at -28.04 eV/f.u. The calculated volume comes out at 21.3 Å³/atom. The value obtained for the mass density is 6.40 Mg/m³.

No. 11
Below is Ca2Bi2As after structural relaxation, with properties calculated at the PBE-GGA level.

The structure in POSCAR format:
```
Ca2Bi2As
1.0
8.127 0.000 0.000
0.000 8.127 0.000
0.000 0.000 4.612
Ca Bi As
4 4 2
Cartesian
1.354 2.710 0.000
2.710 6.774 0.000
5.417 1.354 0.000
6.774 5.417 0.000
1.154 5.218 2.306
2.910 1.154 2.306
5.218 6.973 2.306
6.973 2.910 2.306
0.000 0.000 2.306
4.064 4.064 2.306
```

Summary:
The energy above the most stable polymorph in this dataset comes out at 0.093 eV/f.u. The crystal system is tetragonal. Its size of the total moment is 0.0000 μB/atom. The calculated total energy comes out at -18.89 eV/f.u. The calculated volume comes out at 30.5 Å³/atom. The value obtained for the mass density is 6.25 Mg/m³.

No. 12
Below is LiTm2Pb3 after structural relaxation, with properties calculated at the PBE-GGA level.

The structure in POSCAR format:
```
LiTm2Pb3
1.0
7.996 -3.137 0.000
7.996 3.137 0.000
0.000 0.000 6.430
Li Tm Pb
2 4 6
Cartesian
0.000 0.000 0.000
0.000 0.000 3.215
5.397 1.303 4.822
10.595 1.303 4.822
5.397 -1.303 1.607
10.595 -1.303 1.607
5.704 1.899 1.607
10.288 1.899 1.607
7.997 0.001 6.429
7.995 -0.001 3.214
5.704 -1.899 4.822
10.288 -1.899 4.822
```

Summary:
The energy above the most stable polymorph in this dataset comes out at 0.091 eV/f.u. The crystal system is orthorhombic. Its size of the total moment is 0.0000 μB/atom. The calculated total energy comes out at -23.94 eV/f.u. The calculated volume comes out at 26.9 Å³/atom. The value obtained for the mass density is 9.95 Mg/m³.

No. 13
Below is KTcI3 after structural relaxation, with properties calculated at the PBE-GGA level.

The structure in POSCAR format:
```
KTcI3
1.0
6.281 0.000 0.000
0.000 6.281 0.000
0.000 0.000 6.281
K Tc I
1 1 3
Cartesian
0.000 0.000 0.000
3.140 3.140 3.140
0.000 0.000 3.140
0.000 3.140 0.000
3.140 0.000 0.000
```

Summary:
The energy above the most stable polymorph in this dataset comes out at 5.962 eV/f.u. The crystal system is cubic. Its size of the total moment is 1.0150 μB/atom. The raw formation energy is 0.76 eV per atom. The calculated total energy comes out at -12.33 eV/f.u. The calculated volume comes out at 49.6 Å³/atom. The value obtained for the mass density is 3.47 Mg/m³.

No. 14
Below is CaZrV3 after structural relaxation, with properties calculated at the PBE-GGA level.

The structure in POSCAR format:
```
CaZrV3
1.0
4.870 0.000 0.000
0.000 4.870 0.000
0.000 0.000 4.870
Ca Zr V
1 1 3
Cartesian
0.000 0.000 0.000
2.435 2.435 2.435
0.000 2.435 2.435
2.435 0.000 2.435
2.435 2.435 0.000
```

Summary:
The energy above the most stable polymorph in this dataset comes out at 0.000 eV/f.u. The crystal system is cubic. Its size of the total moment is 1.0970 μB/atom. The calculated total energy comes out at -31.40 eV/f.u. The calculated volume comes out at 23.1 Å³/atom. The value obtained for the mass density is 4.09 Mg/m³.

No. 15
Below is PaAgPd after structural relaxation, with properties calculated at the PBE-GGA level.

The structure in POSCAR format:
```
PaAgPd
1.0
3.219 0.000 0.000
0.000 3.219 0.000
0.000 0.000 11.654
Pa Ag Pd
2 2 2
Cartesian
0.000 0.000 0.000
1.610 1.610 5.827
0.000 0.000 3.593
1.610 1.610 9.420
0.000 0.000 7.658
1.610 1.610 1.831
```

Summary:
The energy above the most stable polymorph in this dataset comes out at 0.000 eV/f.u. The crystal system is tetragonal. Its size of the total moment is 0.0000 μB/atom. The calculated total energy comes out at -18.06 eV/f.u. The calculated volume comes out at 20.1 Å³/atom. The value obtained for the mass density is 12.25 Mg/m³.

No. 16
Below is KBeMo2 after structural relaxation, with properties calculated at the PBE-GGA level.

The structure in POSCAR format:
```
KBeMo2
1.0
3.844 0.000 0.000
0.000 3.844 0.000
0.000 0.000 9.778
K Be Mo
2 2 4
Cartesian
0.000 0.000 0.000
1.922 1.922 4.889
0.000 0.000 4.889
1.922 1.922 0.000
0.000 1.922 2.444
0.000 1.922 7.333
1.922 0.000 2.444
1.922 0.000 7.333
```

Summary:
The crystal system is tetragonal. Its size of the total moment is 0.0000 μB/atom. The calculated total energy comes out at -19.92 eV/f.u. The calculated volume comes out at 18.1 Å³/atom. The value obtained for the mass density is 5.52 Mg/m³.

No. 17
Below is Pm4PrTm15 after structural relaxation, with properties calculated at the PBE-GGA level.

The structure in POSCAR format:
```
Pm4PrTm15
1.0
5.000 0.000 0.000
0.000 5.000 0.000
0.000 0.000 24.890
Pm Pr Tm
4 1 15
Cartesian
0.000 0.000 2.486
0.000 0.000 7.458
0.000 0.000 17.431
0.000 0.000 22.403
0.000 0.000 12.445
0.000 2.500 0.000
0.000 2.500 4.971
0.000 2.500 9.938
0.000 2.500 14.951
0.000 2.500 19.918
2.500 0.000 0.000
2.500 0.000 4.971
2.500 0.000 9.938
2.500 0.000 14.951
2.500 0.000 19.918
2.500 2.500 2.487
2.500 2.500 7.455
2.500 2.500 12.445
2.500 2.500 17.435
2.500 2.500 22.403
```

Summary:
The crystal system is tetragonal. Its size of the total moment is 0.0000 μB/atom. The calculated total energy comes out at -90.32 eV/f.u. The calculated volume comes out at 31.1 Å³/atom. The value obtained for the mass density is 8.69 Mg/m³.

No. 18
Below is Gd2HoBe after structural relaxation, with properties calculated at the PBE-GGA level.

The structure in POSCAR format:
```
Gd2HoBe
1.0
3.435 0.000 0.000
-1.717 2.975 0.000
0.000 0.000 34.277
Gd Ho Be
6 3 3
Cartesian
0.000 0.000 2.875
0.000 0.000 31.402
0.000 1.983 19.977
0.000 1.983 25.726
1.717 0.992 8.551
1.717 0.992 14.301
0.000 0.000 17.139
0.000 1.983 5.713
1.717 0.992 28.564
0.000 0.000 0.000
0.000 1.983 22.851
1.717 0.992 11.426
```

Summary:
The energy above the most stable polymorph in this dataset comes out at 2.382 eV/f.u. The crystal system is trigonal. Its size of the total moment is 3.7464 μB/atom. The calculated total energy comes out at -33.74 eV/f.u. The calculated volume comes out at 29.2 Å³/atom. The value obtained for the mass density is 6.95 Mg/m³.

No. 19
Below is LaGe3Pt3 after structural relaxation, with properties calculated at the PBE-GGA level.

The structure in POSCAR format:
```
LaGe3Pt3
1.0
3.596 2.076 6.866
-3.596 2.076 6.866
0.000 -4.152 6.866
La Ge Pt
2 6 6
Cartesian
0.000 0.000 3.424
0.000 0.000 17.173
-1.100 -1.827 8.449
-2.133 0.039 12.148
-1.032 1.867 8.449
1.032 -1.867 12.148
2.133 -0.039 8.449
1.100 1.827 12.148
-2.561 0.040 7.816
-1.315 -2.198 12.781
1.246 -2.238 7.816
-1.246 2.238 12.781
1.315 2.198 7.816
2.561 -0.040 12.781
```

Summary:
The energy above the most stable polymorph in this dataset comes out at 0.000 eV/f.u. The crystal system is trigonal. Its size of the total moment is 0.0000 μB/atom. The calculated total energy comes out at -41.14 eV/f.u. The calculated volume comes out at 22.0 Å³/atom. The value obtained for the mass density is 10.17 Mg/m³.

No. 20
Below is Ac4NdGd after structural relaxation, with properties calculated at the PBE-GGA level.

The structure in POSCAR format:
```
Ac4NdGd
1.0
0.000 5.083 5.083
5.083 0.000 5.083
5.083 5.083 0.000
Ac Nd Gd
4 1 1
Cartesian
1.270 1.270 1.270
3.812 3.812 1.270
3.812 1.270 3.812
1.270 3.812 3.812
7.624 7.624 7.624
5.083 5.083 5.083
```

Summary:
The crystal system is cubic. Its size of the total moment is 1.2706 μB/atom. The calculated total energy comes out at -33.30 eV/f.u. The calculated volume comes out at 43.8 Å³/atom. The value obtained for the mass density is 7.65 Mg/m³.